Entry 1:
Material: TmAlFe
Method: DFT, GGA-PBEsol
State: relaxed

DOS at the Fermi energy = 2.08 states/eV/f.u.
Crystal system = orthorhombic
Energy of formation = -0.32 eV per atom

Lattice parameters (Å, degrees): 5.251 5.270 8.359 90.00 90.00 119.89
Site moments in Bohr magnetons follow the coordinates.
Positions (direct):
Tm: 0.668 0.336 0.184  -0.27
Tm: 0.338 0.677 0.299  -0.19
Tm: 0.338 0.677 0.701  -0.19
Tm: 0.668 0.336 0.816  -0.27
Al: 0.164 0.329 0.000  -0.03
Al: 0.326 0.165 0.500  -0.02
Al: 0.838 0.165 0.500  -0.02
Al: 0.836 0.671 0.500  -0.02
Fe: 0.990 0.981 0.236  1.48
Fe: 0.990 0.981 0.764  1.48
Fe: 0.670 0.841 0.000  1.74
Fe: 0.171 0.841 0.000  1.74

Entry 2:
Material: NaCuCl2
Method: DFT, GGA-PBEsol
State: relaxed

Crystal system = tetragonal
Formation energy from raw total energies = -1.03 eV per atom

Lattice parameters (Å, degrees): 6.076 6.076 6.516 117.79 117.79 90.00
Positions (direct):
Na: 0.750 0.250 0.500
Na: 0.500 0.500 0.000
Cu: 0.250 0.750 0.500
Cu: 0.000 0.000 0.000
Cl: 0.927 0.375 0.250
Cl: 0.323 0.875 0.250
Cl: 0.625 0.677 0.750
Cl: 0.125 0.073 0.750

Entry 3:
Material: AlBr2Cl
Method: DFT, GGA-PBEsol
State: relaxed

DOS at the Fermi energy = 0.40 states/eV/f.u.
Crystal system = orthorhombic
Formation energy from raw total energies = -0.73 eV per atom

Lattice parameters (Å, degrees): 3.319 5.686 6.057 118.00 105.90 90.00
Positions (direct):
Al: 0.246 0.746 0.493
Br: 0.922 0.922 0.845
Br: 0.743 0.243 0.486
Cl: 0.588 0.588 0.176

Entry 4:
Material: YCuS2
Method: DFT, GGA-PBEsol
State: relaxed

DOS at the Fermi energy = 0.00 states/eV/f.u.
Crystal system = trigonal
Formation energy from raw total energies = -1.29 eV per atom

Lattice parameters (Å, degrees): 4.036 4.036 7.372 74.11 74.11 60.00
Positions (direct):
Y: 0.500 0.500 0.500
S: 0.900 0.900 0.300
S: 0.100 0.100 0.700
Cu: 0.000 0.000 0.000

Entry 5:
Material: ReTcSb2
Method: DFT, GGA-PBEsol
State: relaxed

DOS at the Fermi energy = 4.03 states/eV/f.u.
Crystal system = monoclinic
Formation energy from raw total energies = 0.46 eV per atom

Lattice parameters (Å, degrees): 3.128 4.507 5.436 101.71 90.00 110.31
Positions (direct):
Re: 0.000 0.000 0.500
Sb: 0.750 0.501 0.751
Sb: 0.250 0.499 0.249
Tc: 0.500 0.000 0.000

Entry 6:
Material: CrNi3
Method: DFT, GGA-PBEsol
State: relaxed

DOS at the Fermi energy = 6.92 states/eV/f.u.
Crystal system = orthorhombic
Energy of formation = 0.04 eV per atom

Lattice parameters (Å, degrees): 2.435 3.996 4.302 90.00 90.00 90.00
Site moments in Bohr magnetons follow the coordinates.
Positions (direct):
Ni: 0.000 0.500 0.324  0.07
Ni: 0.500 0.000 0.508  0.07
Ni: 0.500 0.500 0.826  0.07
Cr: 0.000 0.000 0.009  0.17

Entry 7:
Material: SnAs2I
Method: DFT, GGA-PBEsol
State: relaxed

DOS at the Fermi energy = 3.62 states/eV/f.u.
Crystal system = tetragonal
Formation energy from raw total energies = 0.38 eV per atom

Lattice parameters (Å, degrees): 6.864 6.864 6.864 97.47 115.79 115.79
Positions (direct):
I: 0.000 0.000 0.000
I: 0.500 0.750 0.250
As: 0.966 0.591 0.125
As: 0.034 0.159 0.625
As: 0.534 0.375 0.409
As: 0.466 0.875 0.841
Sn: 0.000 0.500 0.500
Sn: 0.500 0.250 0.750

Entry 8:
Material: CuIr2Os
Method: DFT, GGA-PBEsol
State: relaxed

DOS at the Fermi energy = 2.84 states/eV/f.u.
Crystal system = orthorhombic
Energy of formation = 0.09 eV per atom

Lattice parameters (Å, degrees): 2.709 3.736 5.313 90.00 90.00 90.00
Positions (direct):
Ir: 0.000 0.000 0.747
Ir: 0.000 0.000 0.253
Os: 0.500 0.500 0.000
Cu: 0.500 0.500 0.500

Entry 9:
Material: Te4Ir
Method: DFT, GGA-PBEsol
State: relaxed

DOS at the Fermi energy = 3.73 states/eV/f.u.
Crystal system = cubic
Formation energy from raw total energies = 0.31 eV per atom

Lattice parameters (Å, degrees): 5.617 5.617 5.617 109.47 109.47 109.47
Positions (direct):
Ir: 0.000 0.000 0.000
Te: 0.000 0.000 0.500
Te: 0.000 0.500 0.000
Te: 0.500 0.000 0.000
Te: 0.500 0.500 0.500

Entry 10:
Material: Li4LaNi
Method: DFT, GGA-PBEsol
State: relaxed

DOS at the Fermi energy = 5.11 states/eV/f.u.
Crystal system = cubic
Energy of formation = 0.18 eV per atom

Lattice parameters (Å, degrees): 5.265 5.265 5.265 60.00 60.00 60.00
Positions (direct):
La: 0.000 0.000 0.000
Li: 0.378 0.378 0.378
Li: 0.378 0.378 0.865
Li: 0.865 0.378 0.378
Li: 0.378 0.865 0.378
Ni: 0.750 0.750 0.750

Entry 11:
Material: LaIn2Re
Method: DFT, GGA-PBEsol
State: relaxed

DOS at the Fermi energy = 4.53 states/eV/f.u.
Crystal system = cubic
Energy of formation = 0.41 eV per atom

Lattice parameters (Å, degrees): 4.978 4.978 4.978 60.00 60.00 60.00
Positions (direct):
In: 0.000 0.000 0.000
In: 0.750 0.750 0.750
La: 0.500 0.500 0.500
Re: 0.250 0.250 0.250

Entry 12:
Material: SrTiS3
Method: DFT, GGA-PBEsol
State: relaxed

DOS at the Fermi energy = 1.49 states/eV/f.u.
Crystal system = hexagonal
Formation energy from raw total energies = -1.60 eV per atom

Lattice parameters (Å, degrees): 5.682 6.489 6.489 120.00 90.00 90.00
Positions (direct):
Sr: 0.250 0.333 0.667
Sr: 0.750 0.667 0.333
S: 0.250 0.345 0.172
S: 0.750 0.172 0.828
S: 0.750 0.172 0.345
S: 0.250 0.828 0.655
S: 0.750 0.655 0.828
S: 0.250 0.828 0.172
Ti: 0.000 0.000 0.000
Ti: 0.500 0.000 0.000

Entry 13:
Material: ScAsW2
Method: DFT, GGA-PBEsol
State: relaxed

DOS at the Fermi energy = 2.71 states/eV/f.u.
Crystal system = tetragonal
Energy of formation = 0.23 eV per atom

Lattice parameters (Å, degrees): 3.344 3.344 5.868 90.00 90.00 90.00
Positions (direct):
As: 0.500 0.500 0.000
Sc: 0.500 0.500 0.500
W: 0.000 0.000 0.782
W: 0.000 0.000 0.218

Entry 14:
Material: Li2CuAu
Method: DFT, GGA-PBEsol
State: relaxed

DOS at the Fermi energy = 1.32 states/eV/f.u.
Crystal system = cubic
Energy of formation = -0.29 eV per atom

Lattice parameters (Å, degrees): 4.260 4.260 4.260 60.00 60.00 60.00
Positions (direct):
Au: 0.500 0.500 0.500
Cu: 0.250 0.250 0.250
Li: 0.000 0.000 0.000
Li: 0.750 0.750 0.750

Entry 15:
Material: CaRu3Pb
Method: DFT, GGA-PBEsol
State: relaxed

DOS at the Fermi energy = 6.01 states/eV/f.u.
Crystal system = cubic
Energy of formation = 1.70 eV per atom

Lattice parameters (Å, degrees): 4.947 4.947 4.947 90.00 90.00 90.00
Site moments in Bohr magnetons follow the coordinates.
Positions (direct):
Pb: 0.000 0.000 0.000  -0.05
Ru: 0.000 0.500 0.000  1.29
Ru: 0.000 0.000 0.500  1.29
Ru: 0.500 0.000 0.000  1.29
Ca: 0.500 0.500 0.500  -0.02

Entry 16:
Material: Al4Cr
Method: DFT, GGA-PBEsol
State: relaxed

DOS at the Fermi energy = 0.15 states/eV/f.u.
Crystal system = cubic
Energy of formation = 0.02 eV per atom

Lattice parameters (Å, degrees): 4.887 4.887 4.887 109.47 109.47 109.47
Positions (direct):
Cr: 0.000 0.000 0.000
Al: 0.000 0.000 0.500
Al: 0.000 0.500 0.000
Al: 0.500 0.000 0.000
Al: 0.500 0.500 0.500

Entry 17:
Material: NaSbCO2F3
Method: DFT, GGA-PBEsol
State: relaxed

DOS at the Fermi energy = 0.00 states/eV/f.u.
Crystal system = monoclinic
Formation energy from raw total energies = -1.98 eV per atom

Lattice parameters (Å, degrees): 6.269 8.204 9.190 97.32 109.94 90.00
Positions (direct):
Na: 0.680 0.181 0.580
Na: 0.900 0.681 0.580
Na: 0.100 0.319 0.420
Na: 0.320 0.819 0.420
Sb: 0.490 0.392 0.206
Sb: 0.717 0.892 0.206
Sb: 0.283 0.108 0.794
Sb: 0.510 0.608 0.794
C: 0.106 0.972 0.064
C: 0.894 0.028 0.936
C: 0.042 0.528 0.936
C: 0.958 0.472 0.064
O: 0.702 0.994 0.943
O: 0.070 0.898 0.167
O: 0.241 0.494 0.943
O: 0.903 0.602 0.833
O: 0.298 0.006 0.057
O: 0.759 0.506 0.057
O: 0.097 0.398 0.167
O: 0.930 0.102 0.833
F: 0.437 0.315 0.391
F: 0.445 0.627 0.261
F: 0.046 0.185 0.609
F: 0.555 0.373 0.739
F: 0.410 0.039 0.620
F: 0.590 0.961 0.380
F: 0.211 0.539 0.620
F: 0.184 0.873 0.739
F: 0.954 0.815 0.391
F: 0.789 0.461 0.380
F: 0.563 0.685 0.609
F: 0.816 0.127 0.261

Entry 18:
Material: Zr4Cd5
Method: DFT, GGA-PBEsol
State: relaxed

DOS at the Fermi energy = 6.17 states/eV/f.u.
Crystal system = hexagonal
Energy of formation = -0.08 eV per atom

Lattice parameters (Å, degrees): 5.897 8.547 8.547 120.00 90.00 90.00
Positions (direct):
Cd: 0.750 0.000 0.670
Cd: 0.750 0.670 0.000
Cd: 0.750 0.330 0.330
Cd: 0.250 0.000 0.330
Cd: 0.250 0.330 0.000
Cd: 0.250 0.670 0.670
Cd: 0.000 0.333 0.667
Cd: 0.500 0.667 0.333
Cd: 0.000 0.667 0.333
Cd: 0.500 0.333 0.667
Zr: 0.000 0.000 0.000
Zr: 0.500 0.000 0.000
Zr: 0.750 0.000 0.336
Zr: 0.750 0.336 0.000
Zr: 0.750 0.664 0.664
Zr: 0.250 0.000 0.664
Zr: 0.250 0.664 0.000
Zr: 0.250 0.336 0.336

Entry 19:
Material: HfBe3W
Method: DFT, GGA-PBEsol
State: relaxed

DOS at the Fermi energy = 5.38 states/eV/f.u.
Crystal system = cubic
Energy of formation = 2.21 eV per atom

Lattice parameters (Å, degrees): 4.192 4.192 4.192 90.00 90.00 90.00
Site moments in Bohr magnetons follow the coordinates.
Positions (direct):
Be: 0.000 0.500 0.000  0.02
Be: 0.000 0.000 0.500  0.02
Be: 0.500 0.000 0.000  0.02
Hf: 0.000 0.000 0.000  0.11
W: 0.500 0.500 0.500  -0.04

Entry 20:
Material: Ba2HgMo
Method: DFT, GGA-PBEsol
State: relaxed

DOS at the Fermi energy = 3.37 states/eV/f.u.
Crystal system = trigonal
Energy of formation = 0.78 eV per atom

Lattice parameters (Å, degrees): 3.654 3.654 10.656 80.13 80.13 60.00
Site moments in Bohr magnetons follow the coordinates.
Positions (direct):
Ba: 0.256 0.256 0.232  -0.01
Ba: 0.744 0.744 0.768  -0.01
Hg: 0.500 0.500 0.500  -0.03
Mo: 0.000 0.000 0.000  1.42

Entry 21:
Material: KNbCd2Rh
Method: DFT, GGA-PBEsol
State: relaxed

DOS at the Fermi energy = 9.74 states/eV/f.u.
Crystal system = tetragonal
Energy of formation = 1.94 eV per atom

Lattice parameters (Å, degrees): 5.241 5.241 5.207 90.00 90.00 90.00
Site moments in Bohr magnetons follow the coordinates.
Positions (direct):
Nb: 0.000 0.000 0.000  1.45
Rh: 0.500 0.500 0.500  1.07
K: 0.000 0.000 0.500  0.09
Cd: 0.000 0.500 0.000  0.03
Cd: 0.500 0.000 0.000  0.03

Entry 22:
Material: TiBe3Ni
Method: DFT, GGA-PBEsol
State: relaxed

DOS at the Fermi energy = 1.30 states/eV/f.u.
Crystal system = cubic
Energy of formation = 0.14 eV per atom

Lattice parameters (Å, degrees): 3.844 3.844 3.844 90.00 90.00 90.00
Positions (direct):
Ni: 0.000 0.000 0.000
Be: 0.000 0.500 0.000
Be: 0.000 0.000 0.500
Be: 0.500 0.000 0.000
Ti: 0.500 0.500 0.500

Entry 23:
Material: Ba4SrOs
Method: DFT, GGA-PBEsol
State: relaxed

DOS at the Fermi energy = 7.41 states/eV/f.u.
Crystal system = cubic
Energy of formation = 1.14 eV per atom

Lattice parameters (Å, degrees): 6.857 6.857 6.857 60.00 60.00 60.00
Positions (direct):
Ba: 0.377 0.377 0.377
Ba: 0.377 0.377 0.868
Ba: 0.868 0.377 0.377
Ba: 0.377 0.868 0.377
Os: 0.750 0.750 0.750
Sr: 0.000 0.000 0.000

Entry 24:
Material: MoPbCl
Method: DFT, GGA-PBEsol
State: relaxed

DOS at the Fermi energy = 2.24 states/eV/f.u.
Crystal system = trigonal
Formation energy from raw total energies = 0.03 eV per atom

Lattice parameters (Å, degrees): 3.158 3.158 7.561 90.00 90.00 120.00
Positions (direct):
Pb: 0.667 0.333 0.383
Mo: 0.333 0.667 0.707
Cl: 0.000 0.000 0.911

Entry 25:
Material: AlSiP2O
Method: DFT, GGA-PBEsol
State: relaxed

DOS at the Fermi energy = 2.95 states/eV/f.u.
Crystal system = tetragonal
Formation energy from raw total energies = -0.06 eV per atom

Lattice parameters (Å, degrees): 3.346 4.833 4.833 90.00 90.00 90.00
Positions (direct):
P: 0.000 0.000 0.500
P: 0.000 0.500 0.000
Si: 0.500 0.500 0.500
Al: 0.000 0.000 0.000
O: 0.500 0.000 0.000

Entry 26:
Material: CsHfTa2
Method: DFT, GGA-PBEsol
State: relaxed

DOS at the Fermi energy = 5.96 states/eV/f.u.
Crystal system = cubic
Energy of formation = 1.62 eV per atom

Lattice parameters (Å, degrees): 4.938 4.938 4.938 60.00 60.00 60.00
Positions (direct):
Cs: 0.000 0.000 0.000
Hf: 0.500 0.500 0.500
Ta: 0.250 0.250 0.250
Ta: 0.750 0.750 0.750